(1)
A relaxed AlAuNF2 crystal. Source: Alexandria, functional PBE. Values from VASP.

Structure (Quantum ESPRESSO input):
```
&SYSTEM
  ibrav = 0, nat = 5, ntyp = 4
/
ATOMIC_SPECIES
Al 26.98 Al.upf
Au 196.97 Au.upf
N 14.01 N.upf
F 19.00 F.upf
CELL_PARAMETERS angstrom
4.754 0.000 0.000
0.000 4.754 0.000
0.000 0.000 3.763
ATOMIC_POSITIONS angstrom
Al 0.000 0.000 0.000
Au 2.377 2.377 1.882
N 2.377 2.377 0.000
F 0.000 2.377 1.882
F 2.377 0.000 1.882
```

Computed properties:
Its symmetry is P4/mmm. As for the uncorrected energy: -18.60 eV per formula unit. The value obtained for the total magnetization is 0.4 μB per cell. For the distance to the lowest polymorph of the same formula, the calculation gives 1286 meV/atom. For the energy relative to the elements, uncorrected, the calculation gives 0.098 eV/atom.



(2)
A relaxed AlAuNF2 crystal. Source: Alexandria, functional PBE. Values from VASP.

Structure (Quantum ESPRESSO input):
```
&SYSTEM
  ibrav = 0, nat = 5, ntyp = 4
/
ATOMIC_SPECIES
Al 26.98 Al.upf
Au 196.97 Au.upf
N 14.01 N.upf
F 19.00 F.upf
CELL_PARAMETERS angstrom
3.568 0.000 0.000
0.000 3.568 0.000
0.000 0.000 4.396
ATOMIC_POSITIONS angstrom
Al 0.000 0.000 0.000
Au 1.784 1.784 2.198
N 0.000 0.000 2.198
F 0.000 1.784 0.000
F 1.784 0.000 0.000
```

Computed properties:
Its symmetry is P4/mmm. As for the uncorrected energy: -25.03 eV per formula unit. The value obtained for the total magnetization is 0.0 μB per cell. For the distance to the lowest polymorph of the same formula, the calculation gives 0 meV/atom. For the energy relative to the elements, uncorrected, the calculation gives -1.188 eV/atom.



(3)
A relaxed NaAl2AuF crystal. Source: Alexandria, functional PBE. Values from VASP.

Structure (Quantum ESPRESSO input):
```
&SYSTEM
  ibrav = 0, nat = 5, ntyp = 4
/
ATOMIC_SPECIES
Na 22.99 Na.upf
Al 26.98 Al.upf
Au 196.97 Au.upf
F 19.00 F.upf
CELL_PARAMETERS angstrom
4.522 0.000 0.000
0.000 4.522 0.000
0.000 0.000 4.223
ATOMIC_POSITIONS angstrom
Na 0.000 0.000 0.000
Al 0.000 2.261 2.111
Al 2.261 0.000 2.111
Au 2.261 2.261 0.000
F 0.000 0.000 2.111
```

Computed properties:
Its symmetry is P4/mmm. As for the uncorrected energy: -17.02 eV per formula unit. The value obtained for the total magnetization is 0.0 μB per cell. For the energy relative to the elements, uncorrected, the calculation gives -0.614 eV/atom.



(4)
A relaxed AlAuO2F crystal. Source: Alexandria, functional PBE. Values from VASP.

Structure (Quantum ESPRESSO input):
```
&SYSTEM
  ibrav = 0, nat = 5, ntyp = 4
/
ATOMIC_SPECIES
Al 26.98 Al.upf
Au 196.97 Au.upf
O 16.00 O.upf
F 19.00 F.upf
CELL_PARAMETERS angstrom
4.047 0.000 0.000
0.000 4.047 0.000
0.000 0.000 4.132
ATOMIC_POSITIONS angstrom
Al 0.000 0.000 0.000
Au 2.023 2.023 0.000
O 0.000 2.023 2.066
O 2.023 0.000 2.066
F 2.023 2.023 2.066
```

Computed properties:
Its symmetry is P4/mmm. As for the uncorrected energy: -15.23 eV per formula unit. The value obtained for the total magnetization is 0.0 μB per cell. For the energy relative to the elements, uncorrected, the calculation gives 0.715 eV/atom.



(5)
A relaxed AlAuO2F crystal. Source: Alexandria, functional PBE. Values from VASP.

Structure (Quantum ESPRESSO input):
```
&SYSTEM
  ibrav = 0, nat = 5, ntyp = 4
/
ATOMIC_SPECIES
Al 26.98 Al.upf
Au 196.97 Au.upf
O 16.00 O.upf
F 19.00 F.upf
CELL_PARAMETERS angstrom
3.839 0.000 0.000
0.000 3.839 0.000
0.000 0.000 3.637
ATOMIC_POSITIONS angstrom
Al 0.000 0.000 0.000
Au 1.919 1.919 1.819
O 0.000 1.919 0.000
O 1.919 0.000 0.000
F 0.000 0.000 1.819
```

Computed properties:
Its symmetry is P4/mmm. As for the uncorrected energy: -26.18 eV per formula unit. The value obtained for the total magnetization is 0.0 μB per cell. For the energy relative to the elements, uncorrected, the calculation gives -1.475 eV/atom.



(6)
A relaxed AlAuO2F crystal. Source: Alexandria, functional PBE. Values from VASP.

Structure (Quantum ESPRESSO input):
```
&SYSTEM
  ibrav = 0, nat = 5, ntyp = 4
/
ATOMIC_SPECIES
Al 26.98 Al.upf
Au 196.97 Au.upf
O 16.00 O.upf
F 19.00 F.upf
CELL_PARAMETERS angstrom
4.442 0.000 0.000
0.000 4.442 0.000
0.000 0.000 3.249
ATOMIC_POSITIONS angstrom
Al 0.000 0.000 0.000
Au 2.221 2.221 0.000
O 0.000 2.221 1.625
O 2.221 0.000 1.625
F 0.000 0.000 1.625
```

Computed properties:
Its symmetry is P4/mmm. As for the uncorrected energy: -18.93 eV per formula unit. The value obtained for the total magnetization is 0.1 μB per cell. For the energy relative to the elements, uncorrected, the calculation gives -0.025 eV/atom.



(7)
A relaxed AlAuO2F crystal. Source: Alexandria, functional PBE. Values from VASP.

Structure (Quantum ESPRESSO input):
```
&SYSTEM
  ibrav = 0, nat = 5, ntyp = 4
/
ATOMIC_SPECIES
Al 26.98 Al.upf
Au 196.97 Au.upf
O 16.00 O.upf
F 19.00 F.upf
CELL_PARAMETERS angstrom
4.094 0.000 0.000
0.000 4.094 0.000
0.000 0.000 4.363
ATOMIC_POSITIONS angstrom
Al 0.000 0.000 0.000
Au 2.047 2.047 2.181
O 0.000 2.047 2.181
O 2.047 0.000 2.181
F 2.047 2.047 0.000
```

Computed properties:
Its symmetry is P4/mmm. As for the uncorrected energy: -19.22 eV per formula unit. The value obtained for the total magnetization is 0.0 μB per cell. For the energy relative to the elements, uncorrected, the calculation gives -0.083 eV/atom.



(8)
A relaxed AlPAuF2 crystal. Source: Alexandria, functional PBE. Values from VASP.

Structure (Quantum ESPRESSO input):
```
&SYSTEM
  ibrav = 0, nat = 5, ntyp = 4
/
ATOMIC_SPECIES
Al 26.98 Al.upf
P 30.97 P.upf
Au 196.97 Au.upf
F 19.00 F.upf
CELL_PARAMETERS angstrom
3.832 0.000 0.000
0.000 3.832 0.000
0.000 0.000 5.372
ATOMIC_POSITIONS angstrom
Al 0.000 0.000 0.000
P 0.000 0.000 2.686
Au 1.916 1.916 0.000
F 0.000 1.916 2.686
F 1.916 0.000 2.686
```

Computed properties:
Its symmetry is P4/mmm. As for the uncorrected energy: -20.40 eV per formula unit. The value obtained for the total magnetization is 0.0 μB per cell. For the energy relative to the elements, uncorrected, the calculation gives -0.846 eV/atom.



(9)
A relaxed AlPbAuF6 crystal. Source: Alexandria, functional PBE. Values from VASP.

Structure (Quantum ESPRESSO input):
```
&SYSTEM
  ibrav = 0, nat = 18, ntyp = 4
/
ATOMIC_SPECIES
Al 26.98 Al.upf
Pb 207.20 Pb.upf
Au 196.97 Au.upf
F 19.00 F.upf
CELL_PARAMETERS angstrom
6.035 0.000 0.000
-3.017 5.226 0.000
0.000 0.000 8.665
ATOMIC_POSITIONS angstrom
Al 0.000 3.484 2.166
Al 3.017 1.742 6.499
Pb 0.000 3.484 6.499
Pb 3.017 1.742 2.166
Au 0.000 0.000 0.000
Au 0.000 0.000 4.332
F -0.770 2.172 1.134
F -1.521 3.473 3.198
F 0.770 2.172 3.198
F -0.751 4.807 1.134
F 2.266 0.419 5.467
F 1.496 1.753 7.531
F 1.521 3.473 1.134
F 0.751 4.807 3.198
F 3.769 0.419 7.531
F 2.247 3.054 5.467
F 4.539 1.753 5.467
F 3.787 3.054 7.531
```

Computed properties:
Its symmetry is P-31c. As for the uncorrected energy: -43.26 eV per formula unit. The value obtained for the total magnetization is 0.2 μB per cell. For the energy relative to the elements, uncorrected, the calculation gives -2.367 eV/atom.



(10)
A relaxed AlPbAu2F crystal. Source: Alexandria, functional PBE. Values from VASP.

Structure (Quantum ESPRESSO input):
```
&SYSTEM
  ibrav = 0, nat = 5, ntyp = 4
/
ATOMIC_SPECIES
Al 26.98 Al.upf
Pb 207.20 Pb.upf
Au 196.97 Au.upf
F 19.00 F.upf
CELL_PARAMETERS angstrom
5.451 0.000 0.000
0.000 5.451 0.000
0.000 0.000 3.505
ATOMIC_POSITIONS angstrom
Al 0.000 0.000 0.000
Pb 2.725 2.725 0.000
Au 0.000 2.725 1.753
Au 2.725 0.000 1.753
F 0.000 0.000 1.753
```

Computed properties:
Its symmetry is P4/mmm. As for the uncorrected energy: -17.53 eV per formula unit. The value obtained for the total magnetization is 0.0 μB per cell. For the energy relative to the elements, uncorrected, the calculation gives -0.330 eV/atom.



(11)
A relaxed Rb2AlAuF6 crystal. Source: Alexandria, functional PBE. Values from VASP.

Structure (Quantum ESPRESSO input):
```
&SYSTEM
  ibrav = 0, nat = 10, ntyp = 4
/
ATOMIC_SPECIES
Rb 85.47 Rb.upf
Al 26.98 Al.upf
Au 196.97 Au.upf
F 19.00 F.upf
CELL_PARAMETERS angstrom
-3.316 3.316 3.991
3.316 -3.316 3.991
3.316 3.316 -3.991
ATOMIC_POSITIONS angstrom
Rb 3.316 0.000 1.996
Rb 0.000 3.316 1.996
Al 0.000 0.000 0.000
Au 0.000 0.000 3.991
F 1.275 1.275 0.000
F 2.041 -2.041 3.991
F 0.000 0.000 1.913
F 0.000 0.000 6.069
F -2.041 2.041 3.991
F 2.041 2.041 3.991
```

Computed properties:
Its symmetry is I4/mmm. As for the uncorrected energy: -46.60 eV per formula unit. The value obtained for the total magnetization is 0.0 μB per cell. For the distance to the lowest polymorph of the same formula, the calculation gives 0 meV/atom. For the energy relative to the elements, uncorrected, the calculation gives -2.642 eV/atom.



(12)
A relaxed Rb2AlAuF6 crystal. Source: Alexandria, functional PBE. Values from VASP.

Structure (Quantum ESPRESSO input):
```
&SYSTEM
  ibrav = 0, nat = 10, ntyp = 4
/
ATOMIC_SPECIES
Rb 85.47 Rb.upf
Al 26.98 Al.upf
Au 196.97 Au.upf
F 19.00 F.upf
CELL_PARAMETERS angstrom
0.000 4.359 4.359
4.359 0.000 4.359
4.359 4.359 0.000
ATOMIC_POSITIONS angstrom
Rb 2.180 2.180 2.180
Rb 6.539 6.539 6.539
Al 0.000 0.000 0.000
Au 4.359 4.359 4.359
F 4.359 4.359 1.841
F 4.359 1.841 4.359
F 6.877 4.359 4.359
F 1.841 4.359 4.359
F 4.359 6.877 4.359
F 4.359 4.359 6.877
```

Computed properties:
Its symmetry is Fm-3m. As for the uncorrected energy: -46.32 eV per formula unit. The value obtained for the total magnetization is 0.0 μB per cell. For the distance to the lowest polymorph of the same formula, the calculation gives 28 meV/atom. For the energy relative to the elements, uncorrected, the calculation gives -2.614 eV/atom.